(1)
PBE-GGA NaDyAgTe3, relaxed; M_tot = 0.03 μB per cell; DFT total energy = -3.855 eV per atom; crystal system = orthorhombic
1.0
-7.4268 -2.5219 8.1770
-0.1503 -3.9763 -1.3628
11.2966 -3.5666 9.1603
Te Dy Na Ag
12 4 4 4
Direct
0.9279 0.7500 0.3970
0.7671 0.7500 0.6576
0.0370 0.7500 0.1095
0.4630 0.2500 0.6095
0.5370 0.7500 0.3905
0.5721 0.2500 0.8970
0.2671 0.7500 0.8424
0.2329 0.2500 0.3424
0.4279 0.7500 0.1030
0.0721 0.2500 0.6030
0.9630 0.2500 0.8905
0.7329 0.2500 0.1576
0.5178 0.7500 0.7535
0.9822 0.2500 0.2535
0.4822 0.2500 0.2465
0.0178 0.7500 0.7465
0.2717 0.7500 0.5190
0.7717 0.7500 0.9810
0.2283 0.2500 0.0190
0.7283 0.2500 0.4810
0.2642 0.2500 0.7180
0.7358 0.7500 0.2820
0.7642 0.2500 0.7820
0.2358 0.7500 0.2180


(2)
PBE-GGA TmAgSe2, relaxed; M_tot = 0.00 μB per cell; DFT total energy = -4.767 eV per atom; crystal system = orthorhombic
1.0
6.8068 0.0000 0.0000
0.0000 13.6675 0.0000
0.0000 0.0000 4.2036
Se Ag Tm
8 4 4
Direct
0.4864 0.0274 0.7275
0.9114 0.7269 0.7793
0.0886 0.2269 0.7207
0.9864 0.4726 0.2725
0.5886 0.2731 0.2793
0.4114 0.7731 0.2207
0.5136 0.5274 0.7725
0.0136 0.9726 0.2275
0.7050 0.8745 0.5045
0.2950 0.3745 0.9955
0.2050 0.6255 0.4955
0.7950 0.1255 0.0045
0.7084 0.6282 0.2795
0.2916 0.1282 0.2205
0.7916 0.3718 0.7795
0.2084 0.8718 0.7205


(3)
PBE-GGA NaZrAgTeSe2, relaxed; M_tot = 0.01 μB per cell; DFT total energy = -4.669 eV per atom; crystal system = orthorhombic; polymorph energy (0 for the lowest one) = 3.5 kJ/mol of atoms
1.0
1.9641 -7.1435 0.0000
1.9641 7.1435 0.0000
0.0000 0.0000 10.7893
Na Ag Se Zr Te
2 2 4 2 2
Direct
0.2848 0.7152 0.7500
0.7152 0.2848 0.2500
0.9674 0.0326 0.7500
0.0326 0.9674 0.2500
0.8707 0.1293 0.9523
0.1293 0.8707 0.4523
0.8707 0.1293 0.5477
0.1293 0.8707 0.0477
0.5000 0.5000 0.5000
0.5000 0.5000 0.0000
0.3965 0.6035 0.2500
0.6035 0.3965 0.7500


(4)
PBE-GGA K2CuAsBr6, relaxed; DFT total energy = -2.953 eV per atom; crystal system = trigonal
1.0
3.7464 2.1630 12.6060
-3.7464 2.1630 12.6060
0.0000 -4.3260 12.6060
Br K Cu As
12 4 2 2
Direct
0.2101 0.7048 0.2101
0.8721 0.3770 0.3770
0.6230 0.6230 0.1279
0.3770 0.3770 0.8721
0.6230 0.1279 0.6230
0.7048 0.2101 0.2101
0.7899 0.7899 0.2952
0.7899 0.2952 0.7899
0.3770 0.8721 0.3770
0.2101 0.2101 0.7048
0.2952 0.7899 0.7899
0.1279 0.6230 0.6230
0.1192 0.1192 0.1192
0.7000 0.7000 0.7000
0.3000 0.3000 0.3000
0.8808 0.8808 0.8808
0.5840 0.5840 0.5840
0.4160 0.4160 0.4160
0.0000 0.0000 0.0000
0.5000 0.5000 0.5000


(5)
PBE-GGA ZnBPt3, relaxed; M_tot = 0.00 μB per cell; DFT total energy = -5.613 eV per atom; crystal system = trigonal
1.0
2.7910 1.6114 5.4052
-2.7910 1.6114 5.4052
0.0000 -3.2228 5.4052
B Pt Zn
2 6 2
Direct
0.3324 0.3324 0.3324
0.6676 0.6676 0.6676
0.5883 0.5882 0.0909
0.5882 0.0909 0.5883
0.9091 0.4118 0.4117
0.0909 0.5883 0.5882
0.4117 0.9091 0.4118
0.4118 0.4117 0.9091
0.8917 0.8917 0.8917
0.1083 0.1083 0.1083


(6)
PBE-GGA CuSiHgW, relaxed; M_tot = 2.08 μB per cell; DFT total energy = -4.469 eV per atom; crystal system = cubic; polymorph energy (0 for the lowest one) = 42.1 kJ/mol of atoms
1.0
1.7850 -3.8598 -1.6632
1.0506 -3.4317 2.8232
-2.4832 -3.8318 -0.0408
W Cu Si Hg
1 1 1 1
Direct
0.5000 0.5000 0.5000
0.7500 0.7500 0.7500
0.0000 0.0000 0.0000
0.2500 0.2500 0.2500


(7)
PBE-GGA RbErTm, relaxed; M_tot = 0.85 μB per cell; DFT total energy = -2.078 eV per atom; crystal system = cubic
1.0
-1.5132 2.5608 5.0941
-5.2389 -1.1686 2.4467
-0.2978 -3.2096 4.9404
Er Rb Tm
1 1 1
Direct
0.2500 0.2500 0.2500
0.7500 0.7500 0.7500
0.0000 0.0000 0.0000


(8)
PBE-GGA GdTlCdTe3, relaxed; M_tot = 0.02 μB per cell; DFT total energy = -3.711 eV per atom; crystal system = orthorhombic; polymorph energy (0 for the lowest one) = 0.6 kJ/mol of atoms
1.0
-2.8748 -11.0499 10.4595
3.1320 1.7467 2.7061
-8.3071 6.9907 5.1021
Gd Te Cd Tl
4 12 4 4
Direct
0.9735 0.2500 0.6551
0.4735 0.2500 0.8449
0.0265 0.7500 0.3449
0.5265 0.7500 0.1551
0.9037 0.7500 0.1244
0.3470 0.7500 0.7624
0.3991 0.2500 0.0807
0.1530 0.2500 0.2624
0.6009 0.7500 0.9193
0.1009 0.7500 0.5807
0.5963 0.2500 0.6244
0.0963 0.2500 0.8756
0.6530 0.2500 0.2376
0.4037 0.7500 0.3756
0.8470 0.7500 0.7376
0.8991 0.2500 0.4193
0.9805 0.7500 0.8990
0.5195 0.2500 0.3990
0.0195 0.2500 0.1010
0.4805 0.7500 0.6010
0.7607 0.2500 0.9529
0.7393 0.7500 0.4529
0.2393 0.7500 0.0471
0.2607 0.2500 0.5471


(9)
PBE-GGA TbTc4Ge2, relaxed; M_tot = 0.01 μB per cell; DFT total energy = -8.296 eV per atom; crystal system = orthorhombic
1.0
2.0655 -7.1658 0.0000
2.0655 7.1658 0.0000
0.0000 0.0000 4.0925
Ge Tc Tb
2 4 1
Direct
0.4127 0.5873 0.5000
0.5873 0.4127 0.5000
0.6979 0.3021 0.0000
0.8075 0.1925 0.5000
0.1925 0.8075 0.5000
0.3021 0.6979 0.0000
0.0000 0.0000 0.0000


(10)
PBE-GGA TbNd2P2N6, relaxed; M_tot = 0.00 μB per cell; DFT total energy = -7.630 eV per atom; crystal system = tetragonal
1.0
-1.8749 1.8749 9.5565
1.8749 -1.8749 9.5565
1.8749 1.8749 -9.5565
P Tb N Nd
2 1 6 2
Direct
0.3954 0.3954 0.0000
0.6046 0.6046 0.0000
0.0000 0.0000 0.0000
0.9160 0.4160 0.5000
0.0840 0.5840 0.5000
0.6923 0.6923 0.0000
0.4160 0.9160 0.5000
0.3077 0.3077 0.0000
0.5840 0.0840 0.5000
0.1778 0.1778 0.0000
0.8222 0.8222 0.0000


(11)
PBE-GGA RbAlPd, relaxed; DFT total energy = -2.923 eV per atom; crystal system = cubic; polymorph energy (0 for the lowest one) = 0.0 kJ/mol of atoms
1.0
-3.1503 -3.8200 -0.1126
-2.3843 -1.3658 4.1205
-4.8705 0.7936 0.4213
Rb Pd Al
1 1 1
Direct
0.7500 0.7500 0.7500
0.0000 0.0000 0.0000
0.2500 0.2500 0.2500


(12)
PBE-GGA DyTmAsO, relaxed; M_tot = 0.01 μB per cell; DFT total energy = -6.532 eV per atom; crystal system = tetragonal; polymorph energy (0 for the lowest one) = 11.5 kJ/mol of atoms
1.0
-2.2726 -1.2698 3.4241
1.6185 -3.9655 -0.3964
6.5964 2.1740 5.1843
Dy Tm O As
2 2 2 2
Direct
0.7500 0.2500 0.5000
0.2500 0.7500 0.5000
0.2500 0.2500 0.0957
0.7500 0.7500 0.9043
0.7500 0.2500 0.0000
0.2500 0.7500 0.0000
0.2500 0.2500 0.7102
0.7500 0.7500 0.2898


(13)
PBE-GGA NaHfAuSeS2, relaxed; M_tot = 0.00 μB per cell; DFT total energy = -5.375 eV per atom; crystal system = orthorhombic
1.0
1.8793 -6.9220 0.0000
1.8793 6.9220 0.0000
0.0000 0.0000 10.2275
S Se Hf Na Au
4 2 2 2 2
Direct
0.6266 0.3734 0.4740
0.6266 0.3734 0.0260
0.3734 0.6266 0.9740
0.3734 0.6266 0.5260
0.9270 0.0730 0.2500
0.0730 0.9270 0.7500
0.0000 0.0000 0.0000
0.0000 0.0000 0.5000
0.7412 0.2588 0.7500
0.2588 0.7412 0.2500
0.5826 0.4174 0.2500
0.4174 0.5826 0.7500


(14)
PBE-GGA NaFeCuTe3, relaxed; M_tot = 5.10 μB per cell; DFT total energy = -4.031 eV per atom; crystal system = orthorhombic; polymorph energy (0 for the lowest one) = 0.0 kJ/mol of atoms
1.0
-6.7876 8.2389 -8.8183
-3.2870 -0.6068 1.9631
2.0874 8.1608 6.0178
Te Na Cu Fe
12 4 4 4
Direct
0.1371 0.2500 0.7795
0.4156 0.2500 0.5641
0.3629 0.7500 0.2795
0.6371 0.2500 0.7205
0.9156 0.2500 0.9359
0.0844 0.7500 0.0641
0.5844 0.7500 0.4359
0.1066 0.2500 0.3634
0.8934 0.7500 0.6366
0.8629 0.7500 0.2205
0.3934 0.7500 0.8634
0.6066 0.2500 0.1366
0.2227 0.7500 0.5565
0.7773 0.2500 0.4435
0.2773 0.2500 0.0565
0.7227 0.7500 0.9435
0.4836 0.7500 0.0885
0.9836 0.7500 0.4115
0.5164 0.2500 0.9115
0.0164 0.2500 0.5885
0.4864 0.2500 0.3284
0.5136 0.7500 0.6716
0.9864 0.2500 0.1716
0.0136 0.7500 0.8284


(15)
PBE-GGA NaHoCdTe3, relaxed; M_tot = 0.02 μB per cell; DFT total energy = -3.661 eV per atom; crystal system = monoclinic; polymorph energy (0 for the lowest one) = 0.0 kJ/mol of atoms
1.0
8.7265 0.0000 0.0000
0.0000 4.4066 0.0000
-2.7491 0.0000 10.2390
Te Ho Na Cd
6 2 2 2
Direct
0.0802 0.2500 0.8665
0.5662 0.2500 0.8464
0.9198 0.7500 0.1335
0.4338 0.7500 0.1536
0.2602 0.7500 0.5385
0.7398 0.2500 0.4615
0.6734 0.2500 0.1458
0.3266 0.7500 0.8542
0.7984 0.7500 0.7766
0.2016 0.2500 0.2234
0.9158 0.7500 0.3967
0.0842 0.2500 0.6033


(16)
PBE-GGA TlCuPdPt, relaxed; M_tot = 0.00 μB per cell; DFT total energy = -4.334 eV per atom; crystal system = cubic; polymorph energy (0 for the lowest one) = 0.0 kJ/mol of atoms
1.0
0.0000 3.2041 3.2041
3.2041 0.0000 3.2041
3.2041 3.2041 0.0000
Pd Cu Tl Pt
1 1 1 1
Direct
0.2500 0.2500 0.2500
0.7500 0.7500 0.7500
0.0000 0.0000 0.0000
0.5000 0.5000 0.5000


(17)
PBE-GGA LiGdNiS3, relaxed; M_tot = 2.80 μB per cell; DFT total energy = -5.264 eV per atom; crystal system = orthorhombic
1.0
-3.1806 1.6494 -1.2176
-2.8243 -3.9686 -3.8788
-5.2299 -4.1439 8.0479
S Ni Gd Li
6 2 2 2
Direct
0.6442 0.7115 0.0919
0.6442 0.7115 0.4081
0.3558 0.2885 0.5919
0.0869 0.8262 0.7500
0.3558 0.2885 0.9081
0.9131 0.1738 0.2500
0.4860 0.0280 0.7500
0.5140 0.9720 0.2500
0.0000 0.0000 0.0000
0.0000 0.0000 0.5000
0.2248 0.5504 0.2500
0.7752 0.4496 0.7500


(18)
PBE-GGA NiBW, relaxed; M_tot = 0.00 μB per cell; DFT total energy = -8.489 eV per atom; crystal system = orthorhombic
1.0
-2.2226 2.7072 2.6982
2.2226 -2.7072 2.6982
2.2226 2.7072 -2.6982
B Ni W
2 2 2
Direct
0.7571 0.7571 0.0000
0.7571 0.2571 0.5000
0.9174 0.3273 0.0901
0.2372 0.8273 0.9099
0.5802 0.6657 0.4146
0.2511 0.1657 0.5854


(19)
PBE-GGA Hf3MgBe, relaxed; M_tot = 0.00 μB per cell; DFT total energy = -6.715 eV per atom; crystal system = cubic
1.0
-0.6550 -4.6604 -0.3521
2.2722 -0.0068 -4.1363
4.0841 -0.7436 2.2448
Hf Be Mg
3 1 1
Direct
0.5000 0.0000 0.5000
0.0000 0.5000 0.5000
0.5000 0.5000 0.0000
0.5000 0.5000 0.5000
0.0000 0.0000 0.0000


(20)
PBE-GGA La2Ag2O5, relaxed; M_tot = 0.00 μB per cell; DFT total energy = -6.123 eV per atom; crystal system = tetragonal; polymorph energy (0 for the lowest one) = 0.0 kJ/mol of atoms
1.0
7.2188 0.0000 0.0000
0.0000 4.1693 0.0000
0.0000 0.0000 4.1693
Ag O La
2 5 2
Direct
0.1966 0.5000 0.5000
0.8034 0.5000 0.5000
0.2173 0.5000 0.0000
0.7827 0.0000 0.5000
0.5000 0.5000 0.5000
0.2173 0.0000 0.5000
0.7827 0.5000 0.0000
0.0000 0.0000 0.0000
0.5000 0.0000 0.0000


no.,calculated density (g cm⁻³)
1,6.29
2,7.38
3,5.57
4,3.77
5,15.06
6,11.74
7,4.82
8,6.82
9,9.54
10,7.33
11,4.23
12,8.75
13,6.76
14,6.28
15,5.76
16,14.37
17,4.52
18,12.96
19,8.99
20,7.59